[1]
Below is a relaxed K4Tl2Ru crystal, with properties calculated at the PBE level.

abc: 6.3361 6.3361 9.5932
angles: 70.72 70.72 90.00
Last column: magnetic moment on the atom in μB.
Fractional coordinates of all 7 atoms:
Ru  0.0000  0.0000  0.0000  1.84
Tl  0.5956  0.5956  0.8088  -0.01
Tl  0.4044  0.4044  0.1912  -0.01
K  0.8103  0.8103  0.3793  0.00
K  0.1897  0.1897  0.6207  0.00
K  0.0000  0.5000  0.0000  0.01
K  0.5000  0.0000  0.0000  0.01

Properties
* energy: -1.96 eV per atom
* calculated formation energy: 669.9 meV per atom
* DOS(E_F): 0.796 states/eV per atom
* density: 3.2 Mg/m³


[2]
Below is a relaxed KTlRu2 crystal, with properties calculated at the PBE level.

abc: 5.4114 5.4114 6.5301
angles: 77.16 77.16 32.24
Fractional coordinates of all 4 atoms:
K  0.7500  0.7500  0.7500
Ru  0.9755  0.9755  0.1127
Ru  0.5245  0.5245  0.3873
Tl  0.2500  0.2500  0.2500

Properties
* energy: -4.61 eV per atom
* calculated formation energy: 889.5 meV per atom
* DOS(E_F): 1.452 states/eV per atom
* energy above the most stable polymorph in this dataset: 0.401 eV per atom
* density: 7.5 Mg/m³


[3]
Below is a relaxed KTlRu2 crystal, with properties calculated at the PBE level.

abc: 10.2528 10.2528 10.2528
angles: 16.92 16.92 16.92
Last column: magnetic moment on the atom in μB.
Fractional coordinates of all 4 atoms:
K  0.7500  0.7500  0.7500  -0.01
Ru  0.9899  0.9899  0.9899  0.29
Ru  0.5101  0.5101  0.5101  0.29
Tl  0.2500  0.2500  0.2500  -0.01

Properties
* energy: -4.46 eV per atom
* calculated formation energy: 1046.2 meV per atom
* DOS(E_F): 0.806 states/eV per atom
* energy above the most stable polymorph in this dataset: 0.557 eV per atom
* density: 9.3 Mg/m³